one | The following is a PBE calculation of a geometry-optimized Pr5Pb4 structure, from Alexandria.

Computed properties:
Space group: Pnma, No. 62

abc: 8.516 8.641 16.260
angles: 90.00 90.00 90.00
Fractional coordinates of all 36 atoms:
Pr 0.123 0.341 0.619
Pr 0.471 0.678 0.601
Pr 0.029 0.178 0.399
Pr 0.877 0.659 0.119
Pr 0.877 0.659 0.381
Pr 0.623 0.159 0.881
Pr 0.029 0.178 0.101
Pr 0.377 0.841 0.119
Pr 0.623 0.159 0.619
Pr 0.971 0.822 0.601
Pr 0.709 0.998 0.250
Pr 0.529 0.322 0.101
Pr 0.209 0.502 0.250
Pr 0.377 0.841 0.381
Pr 0.971 0.822 0.899
Pr 0.471 0.678 0.899
Pr 0.291 0.002 0.750
Pr 0.791 0.498 0.750
Pr 0.529 0.322 0.399
Pr 0.123 0.341 0.881
Pb 0.781 0.466 0.957
Pb 0.719 0.966 0.457
Pb 0.219 0.534 0.457
Pb 0.662 0.854 0.750
Pb 0.219 0.534 0.043
Pb 0.281 0.034 0.957
Pb 0.575 0.622 0.250
Pb 0.719 0.966 0.043
Pb 0.425 0.378 0.750
Pb 0.925 0.122 0.750
Pb 0.281 0.034 0.543
Pb 0.838 0.354 0.250
Pb 0.162 0.646 0.750
Pb 0.338 0.146 0.250
Pb 0.075 0.878 0.250
Pb 0.781 0.466 0.543

two | The following is a PBE calculation of a geometry-optimized Pr5Pb4 structure, from Alexandria.

Computed properties:
Space group: I4/m, No. 87

abc: 3.872 9.820 9.820
angles: 87.77 78.63 78.63
Fractional coordinates of all 9 atoms:
Pb 0.228 0.682 0.861
Pb 0.089 0.139 0.682
Pb 0.911 0.861 0.318
Pb 0.772 0.318 0.139
Pr 0.743 0.861 0.654
Pr 0.396 0.346 0.861
Pr 0.604 0.654 0.139
Pr 0.257 0.139 0.346
Pr 0.000 0.000 0.000

What should be chosen as the most stable of them? Choose one.

one | The following is a PBE calculation of a geometry-optimized Pr4Pb3 structure, from Alexandria.

Computed properties:
Space group: I-43d, No. 220

abc: 8.477 8.477 8.477
angles: 109.47 109.47 109.47
Fractional coordinates of all 14 atoms:
Pr 0.000 0.000 0.862
Pr 0.000 0.000 0.362
Pr 0.500 0.362 0.500
Pr 0.500 0.862 0.500
Pr 0.862 0.500 0.000
Pr 0.362 0.500 0.000
Pr 0.638 0.138 0.138
Pr 0.138 0.638 0.638
Pb 0.375 0.125 0.750
Pb 0.125 0.375 0.250
Pb 0.250 0.875 0.125
Pb 0.875 0.250 0.625
Pb 0.750 0.625 0.375
Pb 0.625 0.750 0.875

two | The following is a PBE calculation of a geometry-optimized Pr4Pb3 structure, from Alexandria.

Computed properties:
Space group: R-3m, No. 166

abc: 5.081 5.081 11.732
angles: 77.49 77.49 60.00
Fractional coordinates of all 7 atoms:
Pr 0.120 0.120 0.639
Pr 0.701 0.701 0.897
Pr 0.880 0.880 0.361
Pr 0.299 0.299 0.103
Pb 0.596 0.596 0.211
Pb 0.404 0.404 0.789
Pb 0.500 0.500 0.500

What should be chosen as the most stable of them? Choose one.